Entry 1:
YSiSbTe2: relaxed, PBE.

Cell: 5.272 5.272 5.212 Å, 90.00 90.00 90.00°
Element x y z (fractional)
1 Y 0.000 0.000 0.000
2 Si 0.500 0.500 0.500
3 Sb 0.500 0.500 0.000
4 Te 0.000 0.500 0.500
5 Te 0.500 0.000 0.500

total magnetic moment = 0.00 μB per cell
V = 28.97 A^3/atom
energy above the most stable polymorph in this dataset = 0 meV/atom
space-group type = P4/mmm, No. 123
DOS(E_F) = 1.9 states/eV per cell

***

Entry 2:
YSiSb2Te: relaxed, PBE.

Cell: 5.769 5.769 5.745 Å, 90.00 90.00 90.00°
Element x y z (fractional)
1 Y 0.000 0.000 0.000
2 Si 0.500 0.500 0.500
3 Sb 0.000 0.500 0.000
4 Sb 0.500 0.000 0.000
5 Te 0.000 0.000 0.500

total magnetic moment = 0.00 μB per cell
V = 38.24 A^3/atom
energy above the most stable polymorph in this dataset = 573 meV/atom
space-group type = P4/mmm, No. 123
DOS(E_F) = 5.5 states/eV per cell

***

Entry 3:
YSiSbTe2: relaxed, PBE.

Cell: 5.764 5.764 5.833 Å, 90.00 90.00 90.00°
Element x y z (fractional)
1 Y 0.000 0.000 0.000
2 Si 0.500 0.500 0.500
3 Sb 0.000 0.000 0.500
4 Te 0.000 0.500 0.000
5 Te 0.500 0.000 0.000

total magnetic moment = 0.00 μB per cell
V = 38.76 A^3/atom
energy above the most stable polymorph in this dataset = 518 meV/atom
space-group type = P4/mmm, No. 123
DOS(E_F) = 6.0 states/eV per cell

***

Entry 4:
YSiSb2Te: relaxed, PBE.

Cell: 5.215 5.215 5.286 Å, 90.00 90.00 90.00°
Element x y z (fractional)
1 Y 0.000 0.000 0.000
2 Si 0.500 0.500 0.500
3 Sb 0.000 0.500 0.500
4 Sb 0.500 0.000 0.500
5 Te 0.500 0.500 0.000

total magnetic moment = 0.00 μB per cell
V = 28.75 A^3/atom
energy above the most stable polymorph in this dataset = 0 meV/atom
space-group type = P4/mmm, No. 123
DOS(E_F) = 2.7 states/eV per cell

***

Entry 5:
Y6Si2SbTe3: relaxed, PBE.

Cell: 9.657 9.657 8.692 Å, 103.62 103.62 25.58°
Element x y z (fractional)
1 Y 0.012 0.012 0.251
2 Y 0.326 0.326 0.433
3 Y 0.332 0.332 0.888
4 Y 0.668 0.668 0.112
5 Y 0.674 0.674 0.567
6 Y 0.988 0.988 0.749
7 Si 0.168 0.168 0.336
8 Si 0.832 0.832 0.664
9 Sb 0.500 0.500 0.000
10 Te 0.163 0.163 0.834
11 Te 0.500 0.500 0.500
12 Te 0.837 0.837 0.166

total magnetic moment = 0.00 μB per cell
DFT total energy = -77.55 eV for the cell shown
V = 28.30 A^3/atom
space-group type = C2/m, No. 12
DOS(E_F) = 2.6 states/eV per cell

***

Entry 6:
Y2SiSbTe: relaxed, PBE.

Cell: 5.565 5.565 4.861 Å, 90.00 90.00 90.00°
Element x y z (fractional)
1 Y 0.000 0.500 0.000
2 Y 0.500 0.000 0.000
3 Si 0.000 0.000 0.000
4 Sb 0.000 0.000 0.500
5 Te 0.500 0.500 0.500

total magnetic moment = 0.00 μB per cell
DFT total energy = -27.01 eV for the cell shown
V = 30.11 A^3/atom
space-group type = P4/mmm, No. 123
DOS(E_F) = 3.4 states/eV per cell

***

Entry 7:
ZnSiSbTe2: relaxed, PBE.

Cell: 5.312 5.312 5.105 Å, 90.00 90.00 90.00°
Element x y z (fractional)
1 Zn 0.000 0.000 0.000
2 Si 0.500 0.500 0.500
3 Sb 0.000 0.000 0.500
4 Te 0.000 0.500 0.000
5 Te 0.500 0.000 0.000

total magnetic moment = 0.00 μB per cell
V = 28.81 A^3/atom
energy above the most stable polymorph in this dataset = 188 meV/atom
space-group type = P4/mmm, No. 123
DOS(E_F) = 4.1 states/eV per cell

***

Entry 8:
ZnSiSbTe2: relaxed, PBE.

Cell: 5.278 5.278 5.297 Å, 90.00 90.00 90.00°
Element x y z (fractional)
1 Zn 0.000 0.000 0.000
2 Si 0.500 0.500 0.500
3 Sb 0.500 0.500 0.000
4 Te 0.000 0.500 0.500
5 Te 0.500 0.000 0.500

total magnetic moment = 0.00 μB per cell
V = 29.51 A^3/atom
energy above the most stable polymorph in this dataset = 0 meV/atom
space-group type = P4/mmm, No. 123
DOS(E_F) = 4.5 states/eV per cell